Compound: NaPa2Br8
Source: Alexandria via LeMat-Bulk
Functional: PBE
Structure: relaxed

Computed properties:
- Relative energy among the computed polymorphs: 0.000 eV/atom
- Space group: C2/m, No. 12
- Mass density: 4.90 Mg/m³

abc: 8.340 7.706 7.706
angles: 55.08 72.10 72.10
Fractional positions:
Br: 0.286 0.759 0.253
Br: 0.286 0.253 0.759
Br: 0.621 0.263 0.263
Br: 0.379 0.737 0.737
Br: 0.124 0.282 0.282
Br: 0.876 0.718 0.718
Br: 0.714 0.241 0.747
Br: 0.714 0.747 0.241
Pa: 0.434 0.126 0.126
Pa: 0.566 0.874 0.874
Na: 0.000 0.000 0.000